The following is a PBE+U calculation of a relaxed AcMnAsO2 crystal, from Alexandria.

```
10
Lattice="2.776 -6.842 0.000 2.776 6.842 0.000 0.000 0.000 5.488" Properties=species:S:1:pos:R:3 pbc="T T T"
Ac 2.776 5.265 4.116
Ac 2.776 -5.265 1.372
Mn 2.776 0.446 4.116
Mn 2.776 -0.446 1.372
As 2.776 3.387 1.372
As 2.776 -3.387 4.116
O 1.446 0.000 0.000
O 1.446 0.000 2.744
O 4.106 0.000 0.000
O 4.106 0.000 2.744
```

E_tot = -6.881 eV/atom
space-group type = Cmcm (63)
size of the total moment = 4.20 μB per formula unit